! PBE-GGA SmCd2Au, relaxed; values from VASP
&SYSTEM
  ibrav = 0, nat = 4, ntyp = 3
/
ATOMIC_SPECIES
Au 196.97 Au.upf
Sm 150.36 Sm.upf
Cd 112.41 Cd.upf
ATOMIC_POSITIONS crystal
Au 0.500 0.500 0.500
Sm 0.000 0.000 0.000
Cd 0.098 0.098 0.707
Cd 0.902 0.902 0.293
CELL_PARAMETERS angstrom
-0.297 2.323 -2.308
-2.033 -0.460 -2.543
-8.788 5.149 3.969
! Final energy in Ry/atom: -0.1721